[1]
PrSm2NpN4 | GGA-PBE | relaxed

Cell and atoms, written as POSCAR:
```
PrSm2NpN4
1.0
-1.415 -0.273 3.181
6.345 -2.545 0.686
3.831 10.246 2.584
Pr N Sm Np
2 8 4 2
Direct
0.230 0.461 0.750
0.770 0.539 0.250
0.799 0.599 0.884
0.430 0.859 0.250
0.000 0.000 0.500
0.201 0.401 0.384
0.000 0.000 0.000
0.570 0.141 0.750
0.201 0.401 0.116
0.799 0.599 0.616
0.373 0.745 0.014
0.627 0.255 0.514
0.627 0.255 0.986
0.373 0.745 0.486
0.038 0.076 0.250
0.962 0.924 0.750
```

Properties
- energy relative to the elements, uncorrected (eV/atom) = -1.099

---

[2]
NaGa12Ir6 | GGA-PBE | relaxed

Cell and atoms, written as POSCAR:
```
NaGa12Ir6
1.0
7.287 -0.092 -0.130
-1.896 7.037 -0.130
-1.896 -2.442 6.601
Ga Ir Na
12 6 1
Direct
0.882 0.118 0.500
0.500 0.882 0.118
0.118 0.500 0.882
0.123 0.403 0.403
0.118 0.882 0.500
0.597 0.597 0.877
0.597 0.877 0.597
0.877 0.597 0.597
0.403 0.123 0.403
0.500 0.118 0.882
0.882 0.500 0.118
0.403 0.403 0.123
0.681 0.273 0.273
0.319 0.727 0.727
0.273 0.681 0.273
0.273 0.273 0.681
0.727 0.727 0.319
0.727 0.319 0.727
0.000 0.000 0.000
```

Properties
- formation energy from the elements (eV per atom) = -0.37

---

[3]
NpTePdO6 | GGA-PBE | relaxed

Cell and atoms, written as POSCAR:
```
NpTePdO6
1.0
5.657 0.000 0.000
-2.828 4.899 0.000
0.000 0.000 9.155
O Np Te Pd
12 2 2 2
Direct
0.644 0.988 0.867
0.356 0.344 0.367
0.988 0.344 0.133
0.344 0.988 0.633
0.012 0.656 0.867
0.656 0.644 0.133
0.012 0.356 0.633
0.356 0.012 0.133
0.644 0.656 0.633
0.988 0.644 0.367
0.344 0.356 0.867
0.656 0.012 0.367
0.333 0.667 0.750
0.667 0.333 0.250
0.667 0.333 0.750
0.333 0.667 0.250
0.000 0.000 0.500
0.000 0.000 0.000
```

Properties
- energy relative to the elements, uncorrected (eV/atom) = -1.411

---

[4]
Dy2Ga3Cu5 | GGA-PBE | relaxed

Cell and atoms, written as POSCAR:
```
Dy2Ga3Cu5
1.0
-5.000 -0.883 -2.648
-1.972 -7.982 0.178
-6.257 1.263 5.186
Cu Ga Dy
10 6 4
Direct
0.853 0.265 0.027
0.250 0.235 0.765
0.250 0.764 0.236
0.750 0.765 0.235
0.147 0.735 0.973
0.647 0.973 0.735
0.750 0.499 0.501
0.353 0.027 0.265
0.250 0.501 0.499
0.750 0.236 0.764
0.375 0.492 0.757
0.250 0.000 0.000
0.875 0.757 0.492
0.750 0.000 0.000
0.625 0.508 0.243
0.125 0.243 0.508
0.262 0.864 0.613
0.762 0.613 0.864
0.238 0.387 0.136
0.738 0.136 0.387
```

Properties
- E above lowest polymorph (eV per atom) = 0.000
- formation energy from the elements (eV per atom) = -0.35

---

[5]
Sc2TlGaCo | GGA-PBE | relaxed

Cell and atoms, written as POSCAR:
```
Sc2TlGaCo
1.0
4.815 0.000 0.000
0.000 4.815 0.000
0.000 0.000 4.564
Sc Ga Tl Co
2 1 1 1
Direct
0.500 0.000 0.000
0.000 0.500 0.000
0.000 0.000 0.500
0.500 0.500 0.500
0.000 0.000 0.000
```

Properties
- E above lowest polymorph (eV per atom) = 0.000
- formation energy from the elements (eV per atom) = -0.21

---

[6]
NbCdBr6 | GGA-PBE | relaxed

Cell and atoms, written as POSCAR:
```
NbCdBr6
1.0
-6.384 0.744 2.562
1.627 -2.932 -7.109
2.694 -4.762 4.761
Br Nb Cd
6 1 1
Direct
0.142 0.884 0.288
0.442 0.722 0.000
0.558 0.278 0.000
0.146 0.404 0.288
0.858 0.116 0.712
0.854 0.596 0.712
0.000 0.500 0.000
0.000 0.000 0.000
```

Properties
- energy relative to the elements, uncorrected (eV/atom) = -0.801

---

[7]
Ba4Sn2Cl | GGA-PBE | relaxed

Cell and atoms, written as POSCAR:
```
Ba4Sn2Cl
1.0
-1.111 5.367 -2.190
-4.475 -2.212 -3.150
-2.871 0.064 9.566
Ba Cl Sn
4 1 2
Direct
0.500 0.000 0.000
0.188 0.188 0.375
0.812 0.812 0.625
0.000 0.500 0.000
0.000 0.000 0.000
0.622 0.622 0.245
0.378 0.378 0.755
```

Properties
- energy relative to the elements, uncorrected (eV/atom) = -0.860

---

[8]
CeZr3Sb2 | GGA-PBE | relaxed

Cell and atoms, written as POSCAR:
```
CeZr3Sb2
1.0
-1.013 -2.033 -3.421
9.495 -2.875 1.362
-6.844 -3.838 4.307
Sb Zr Ce
4 6 2
Direct
0.490 0.979 0.802
0.510 0.021 0.198
0.755 0.509 0.230
0.245 0.491 0.770
0.938 0.876 0.534
0.313 0.627 0.522
0.351 0.701 0.182
0.062 0.124 0.466
0.649 0.299 0.818
0.687 0.373 0.478
0.888 0.777 0.901
0.112 0.223 0.099
```

Properties
- energy relative to the elements, uncorrected (eV/atom) = -0.530

---

[9]
MnVIr | GGA-PBE | relaxed

Cell and atoms, written as POSCAR:
```
MnVIr
1.0
-2.886 -0.208 0.879
-0.525 -2.009 -2.198
2.795 -2.228 3.450
Mn V Ir
1 1 1
Direct
0.292 0.292 0.585
0.946 0.946 0.892
0.612 0.612 0.223
```

Properties
- E above lowest polymorph (eV per atom) = 0.000
- formation energy from the elements (eV per atom) = -0.23

---

[10]
Cu3Sn | GGA-PBE | relaxed

Cell and atoms, written as POSCAR:
```
Cu3Sn
1.0
-0.812 -4.184 -0.626
3.457 -1.138 3.121
-3.768 0.101 4.210
Cu Sn
6 2
Direct
0.500 0.843 0.746
0.000 0.157 0.754
0.500 0.298 0.000
0.000 0.157 0.246
0.000 0.702 0.500
0.500 0.843 0.254
0.000 0.659 0.000
0.500 0.341 0.500
```

Properties
- formation energy from the elements (eV per atom) = 0.00

---

[11]
Ca2AlZn2 | GGA-PBE | relaxed

Cell and atoms, written as POSCAR:
```
Ca2AlZn2
1.0
-5.145 -4.581 -4.859
-1.295 -5.334 6.399
-2.823 2.004 1.100
Zn Ca Al
4 4 2
Direct
0.131 0.631 0.500
0.369 0.131 0.500
0.869 0.369 0.500
0.631 0.869 0.500
0.162 0.338 0.000
0.338 0.838 0.000
0.662 0.162 0.000
0.838 0.662 0.000
0.500 0.500 0.000
0.000 0.000 0.000
```

Properties
- E above lowest polymorph (eV per atom) = 0.359
- formation energy from the elements (eV per atom) = 0.08

---

[12]
Ca2TaAs | GGA-PBE | relaxed

Cell and atoms, written as POSCAR:
```
Ca2TaAs
1.0
-0.608 -4.508 3.673
3.440 -0.296 4.718
-3.419 3.941 -2.638
As Ca Ta
1 2 1
Direct
0.750 0.250 0.500
0.500 0.500 0.000
0.000 0.000 0.000
0.250 0.750 0.500
```

Properties
- formation energy from the elements (eV per atom) = 0.30

---

no.,total magnetic moment (μB/f.u.)
1,3.936
2,0.000
3,1.013
4,0.000
5,0.000
6,1.012
7,0.001
8,0.619
9,2.975
10,0.000
11,0.000
12,0.003